VASP calculation (PBE-GGA) on a relaxed structure of TmBiIr4.

a b c (Å): 5.3709 5.3709 5.3709
angles (deg): 60.00 60.00 60.00
Fractional positions:
Tm  0.2500  0.2500  0.2500
Ir  0.6251  0.6251  0.6251
Ir  0.6251  0.6251  0.1248
Bi  0.0000  0.0000  0.0000
Ir  0.1248  0.6251  0.6251
Ir  0.6251  0.1248  0.6251

Output
* energy relative to the elements: -273.2 meV/atom
* total magnetic moment: 0.00 μB per formula unit
* final energy: -45.44 eV for the cell shown